{
  "formula": "TbTmTiCd",
  "functional": "PBE-GGA",
  "state": "optimized geometry",
  "lattice_angstrom": [[0.000, 3.682, 3.682], [3.682, 0.000, 3.682], [3.682, 3.682, 0.000]],
  "species": ["Tb", "Tm", "Ti", "Cd"],
  "fractional_positions": [[0.000, 0.000, 0.000], [0.500, 0.500, 0.500], [0.750, 0.750, 0.750], [0.250, 0.250, 0.250]],
  "delta_e_f_ev_per_atom": 0.04
}